Below is a relaxed AlSi crystal, with properties calculated at the GGA-PBE level.

a b c (Å): 2.883 5.106 4.439
angles (deg): 90.00 90.00 90.00
Sites, in units of the cell vectors:
1 Al 0.250 0.250 0.169
2 Al 0.750 0.750 0.831
3 Si 0.250 0.750 0.330
4 Si 0.750 0.250 0.670

Spin magnetization (Bohr magnetons per cell): 0.00
ΔE_f (raw) (eV/atom): 0.213
Electronic total energy (eV per cell): -17.48